(1)
Computed, not measured: DySbO4 at its PBEsol-relaxed geometry at the SCAN level of DFT.

POSCAR file:
```
DySbO4
1.0
7.5505 0.0000 0.0000
0.0000 5.3230 0.0000
-1.0842 0.0000 7.3972
Dy Sb O
4 4 16
Direct
0.1424 0.2257 0.3904
0.1424 0.2743 0.8904
0.8576 0.7257 0.1096
0.8576 0.7743 0.6096
0.3372 0.7292 0.1915
0.3372 0.7708 0.6915
0.6628 0.2292 0.3085
0.6628 0.2708 0.8085
0.1136 0.5176 0.1718
0.1136 0.9824 0.6718
0.1719 0.0059 0.1192
0.1719 0.4941 0.6192
0.3302 0.6152 0.9366
0.3302 0.8848 0.4366
0.4300 0.0970 0.8105
0.4300 0.4030 0.3105
0.5700 0.5970 0.6895
0.5700 0.9030 0.1895
0.6698 0.1152 0.5634
0.6698 0.3848 0.0634
0.8281 0.5059 0.3808
0.8281 0.9941 0.8808
0.8864 0.0176 0.3282
0.8864 0.4824 0.8282
```

## Properties
Space group: P2_1/c (14)
ΔE_f (raw): -2.646 eV/atom
Total moment: 0.0 μB/f.u.
Crystal system: monoclinic

(2)
Computed, not measured: BeSiAs2Br at its PBEsol-relaxed geometry at the SCAN level of DFT.

POSCAR file:
```
BeSiAs2Br
1.0
4.4648 0.0000 0.0000
0.0000 4.4648 0.0000
0.0000 0.0000 4.7264
Be Si As Br
1 1 2 1
Direct
0.0000 0.0000 0.0000
0.5000 0.5000 0.5000
0.0000 0.5000 0.0000
0.5000 0.0000 0.0000
0.0000 0.0000 0.5000
```

## Properties
Space group: P4/mmm (123)
ΔE_f (raw): 0.735 eV/atom
Total moment: 0.5 μB/f.u.
Crystal system: tetragonal

(3)
Computed, not measured: LiLaTe2 at its PBEsol-relaxed geometry at the SCAN level of DFT.

POSCAR file:
```
LiLaTe2
1.0
4.4995 0.0000 0.0000
0.0000 6.1914 0.0000
0.0000 0.0000 4.5020
Li La Te
1 1 2
Direct
0.0000 0.0000 0.0000
0.4910 0.5000 0.4945
0.4926 0.0000 0.4994
0.9914 0.5000 0.9949
```

## Properties
Space group: Pm (6)
ΔE_f (raw): -1.462 eV/atom
Total moment: 0.0 μB/f.u.
Crystal system: monoclinic